A relaxed PaMnSe2O8 crystal. Source: Alexandria via LeMat-Bulk, functional PBE+U.

The value obtained for the total energy is -0.2488 Ha/atom. The value obtained for the density of states at the Fermi level is 0.12 states/eV per atom.

The space group is I-4m2 (No. 119) and the conventional cell measures 7.0666, 7.0666 and 6.7211 Å, with angles of 90.00, 90.00 and 90.00 degrees. The distinct sites, in fractional coordinates, are Pa at (0.0000, 0.0000, 0.0000), Mn at (0.0000, 0.5000, 0.2500), Se at (0.0000, 0.0000, 0.5000), Se at (0.0000, 0.5000, 0.7500), O at (0.0000, 0.1850, 0.3110) and O at (0.0000, 0.3074, 0.9479).

***

A relaxed InCoO2F crystal. Source: Alexandria via LeMat-Bulk, functional PBE+U.

The value obtained for the total energy is -0.1820 Ha/atom. The value obtained for the density of states at the Fermi level is 0.31 states/eV per atom.

The space group is P4/mmm (No. 123) and the conventional cell measures 3.9806, 3.9806 and 3.9348 Å, with angles of 90.00, 90.00 and 90.00 degrees. The distinct sites, in fractional coordinates, are In at (0.0000, 0.0000, 0.0000), Co at (0.5000, 0.5000, 0.5000), O at (0.0000, 0.5000, 0.5000) and F at (0.5000, 0.5000, 0.0000).